4
Lattice="-1.8096 1.6230 -2.9223 -0.7714 -3.4361 -1.4307 -6.9144 -0.1873 4.1777" Properties=species:S:1:pos:R:3 comment="AcDyTlAg, optimized geometry, DFT PBE-GGA" formation_enthalpy_0k_ev_per_atom=-0.31 m_tot_mub_per_atom=0.00 pbc="T T T"
Tl -5.7232 -0.1550 3.4580
Dy -5.3590 -1.0168 0.2817
Ac -2.0980 -0.9284 -1.6886
Ag -2.7315 -0.0740 1.6504

4
Lattice="-0.6469 2.1610 -2.3990 -3.2875 -2.4874 -1.3541 -3.0863 2.4329 3.0239" Properties=species:S:1:pos:R:3 comment="TaAg2As, optimized geometry, DFT PBE-GGA" formation_enthalpy_0k_ev_per_atom=0.22 m_tot_mub_per_atom=0.00 pbc="T T T"
As -1.8666 2.2970 0.3125
Ag -1.9672 -0.1632 -1.8765
Ag 0.0000 0.0000 0.0000
Ta -3.1869 -0.0272 0.8349

11
Lattice="-4.2509 1.4598 2.5845 -3.4943 -5.2187 0.9194 1.4551 -0.1147 6.1774" Properties=species:S:1:pos:R:3 comment="Ta2Mo2W7, optimized geometry, DFT PBE-GGA" formation_enthalpy_0k_ev_per_atom=0.32 m_tot_mub_per_atom=0.00 pbc="T T T"
W -2.5920 -2.7802 1.4869
Ta -1.7567 -0.5052 6.3155
W -6.1288 -3.6001 5.6121
W 0.0000 0.0000 0.0000
W -4.3704 -0.9868 5.0719
W -3.6981 -1.0935 8.1943
Mo -2.6308 -0.6923 3.1485
Ta -4.5334 -3.3685 3.3658
W -1.9197 -2.8868 4.6093
W -0.1613 -0.2736 4.0691
Mo -3.6593 -3.1814 6.5328

3
Lattice="4.7069 0.0000 0.0000 2.3535 4.0763 0.0000 2.3535 1.3588 3.8432" Properties=species:S:1:pos:R:3 comment="GdInIr, optimized geometry, DFT PBE-GGA" formation_enthalpy_0k_ev_per_atom=-0.55 m_tot_mub_per_atom=2.36 pbc="T T T"
In 4.7069 2.7176 1.9216
Ir 2.3535 1.3588 0.9608
Gd 0.0000 0.0000 0.0000